(1)
First-principles (GGA-PBEsol) data for a geometry-optimized Bi12PtCl12 structure, as listed in Alexandria via LeMat-Bulk.

SG   P1 (1)

a = 8.958 Å, b = 9.127 Å, c = 9.154 Å
α = 90.26°, β = 90.05°, γ = 93.39°
Fractional coordinates of all 25 atoms:
Bi  0.000  0.000  0.000
Bi  0.006  0.334  0.259
Bi  0.083  0.750  0.320
Bi  0.092  0.081  0.584
Bi  0.326  0.479  0.825
Bi  0.343  0.091  0.242
Bi  0.483  0.531  0.528
Bi  0.496  0.780  0.731
Bi  0.594  0.609  0.020
Bi  0.606  0.310  0.904
Bi  0.747  0.997  0.344
Bi  0.762  0.549  0.717
Pt  0.045  0.043  0.292
Cl  0.018  0.698  0.031
Cl  0.059  0.387  0.554
Cl  0.133  0.790  0.625
Cl  0.302  0.054  0.942
Cl  0.309  0.392  0.210
Cl  0.383  0.794  0.253
Cl  0.396  0.117  0.541
Cl  0.693  0.976  0.044
Cl  0.706  0.291  0.326
Cl  0.779  0.692  0.357
Cl  0.786  0.013  0.644
Cl  0.972  0.298  0.956

(2)
First-principles (GGA-PBEsol) data for a geometry-optimized YFeCl2 structure, as listed in Alexandria via LeMat-Bulk.

DOS at the Fermi energy   26.6 states/eV per cell
SG   F-43m (216)
Excess energy over the best structure of this formula in the dataset   614 meV/atom

a = 6.783 Å, b = 6.783 Å, c = 6.783 Å
α = 90.00°, β = 90.00°, γ = 90.00°
Fractional coordinates of all 16 atoms:
Y  0.000  0.000  0.000
Y  0.000  0.500  0.500
Y  0.500  0.000  0.500
Y  0.500  0.500  0.000
Fe  0.250  0.250  0.750
Fe  0.250  0.750  0.250
Fe  0.750  0.250  0.250
Fe  0.750  0.750  0.750
Cl  0.000  0.000  0.500
Cl  0.000  0.500  0.000
Cl  0.250  0.250  0.250
Cl  0.250  0.750  0.750
Cl  0.500  0.000  0.000
Cl  0.500  0.500  0.500
Cl  0.750  0.250  0.750
Cl  0.750  0.750  0.250

(3)
First-principles (GGA-PBEsol) data for a geometry-optimized Al2GaGeMo structure, as listed in Alexandria via LeMat-Bulk.

DOS at the Fermi energy   2.9 states/eV per cell
E_form   1.24 eV/atom
SG   P4/mmm (123)

a = 4.693 Å, b = 4.693 Å, c = 4.695 Å
α = 90.00°, β = 90.00°, γ = 90.00°
Fractional coordinates of all 5 atoms:
Al  0.000  0.500  0.000
Al  0.500  0.000  0.000
Ga  0.000  0.000  0.000
Ge  0.000  0.000  0.500
Mo  0.500  0.500  0.500

Number 1: energy -0.1437 hartree per atom, total magnetization 0.00 μB/f.u.. Number 2: energy -0.1896 hartree per atom, total magnetization 3.01 μB/f.u.. Number 3: energy -0.1618 hartree per atom, total magnetization 3.22 μB/f.u..